[1]
VASP calculation (PBE-GGA) on a relaxed PmLuPtAu crystal.

Values from the calculation:
Raw total energy in eV per atom: -5.646
Density in g cm⁻³: 13.099

Lattice parameters (Å, degrees): 5.0351 5.0351 5.0351 60.00 60.00 60.00
Last column: nearest neighbours and their distance in Å.
Sites, in units of the cell vectors:
Pt (0.7500, 0.7500, 0.7500)  4 Pm 3.08, 4 Lu 3.08
Pm (0.0000, 0.0000, 0.0000)  4 Au 3.08, 4 Pt 3.08
Lu (0.5000, 0.5000, 0.5000)  4 Pt 3.08, 4 Au 3.08
Au (0.2500, 0.2500, 0.2500)  4 Lu 3.08, 4 Pm 3.08



[2]
VASP calculation (PBE-GGA) on a relaxed PmLuRuAu crystal.

Values from the calculation:
Raw total energy in eV per atom: -5.990
Density in g cm⁻³: 11.826

Lattice parameters (Å, degrees): 4.9695 4.9695 4.9695 60.00 60.00 60.00
Last column: nearest neighbours and their distance in Å.
Sites, in units of the cell vectors:
Ru (0.7500, 0.7500, 0.7500)  4 Pm 3.04, 4 Lu 3.04
Pm (0.5000, 0.5000, 0.5000)  4 Ru 3.04, 4 Au 3.04
Lu (0.0000, 0.0000, 0.0000)  4 Ru 3.04, 4 Au 3.04
Au (0.2500, 0.2500, 0.2500)  4 Pm 3.04, 4 Lu 3.04



[3]
VASP calculation (PBE-GGA) on a relaxed PmLuSbAu crystal.

Values from the calculation:
Formation energy (no corrections) in eV per atom: -0.73
Density in g cm⁻³: 10.428

Lattice parameters (Å, degrees): 5.2395 5.2395 5.2395 60.00 60.00 60.00
Last column: nearest neighbours and their distance in Å.
Sites, in units of the cell vectors:
Lu (0.2500, 0.2500, 0.2500)  4 Sb 3.21, 4 Au 3.21
Pm (0.7500, 0.7500, 0.7500)  4 Sb 3.21, 4 Au 3.21
Sb (0.5000, 0.5000, 0.5000)  4 Pm 3.21, 4 Lu 3.21
Au (0.0000, 0.0000, 0.0000)  4 Pm 3.21, 4 Lu 3.21



[4]
VASP calculation (PBE-GGA) on a relaxed PmLuTlAu crystal.

Values from the calculation:
Raw total energy in eV per atom: -4.267
Density in g cm⁻³: 11.623

Lattice parameters (Å, degrees): 5.2625 5.2625 5.2625 60.00 60.00 60.00
Last column: nearest neighbours and their distance in Å.
Sites, in units of the cell vectors:
Tl (0.7500, 0.7500, 0.7500)  4 Lu 3.22, 4 Pm 3.22
Au (0.2500, 0.2500, 0.2500)  4 Lu 3.22, 4 Pm 3.22
Lu (0.0000, 0.0000, 0.0000)  4 Au 3.22, 4 Tl 3.22
Pm (0.5000, 0.5000, 0.5000)  4 Tl 3.22, 4 Au 3.22



[5]
VASP calculation (PBE-GGA) on a relaxed PmLuZnAu crystal.

Values from the calculation:
Raw total energy in eV per atom: -4.025
Density in g cm⁻³: 10.350

Lattice parameters (Å, degrees): 5.0934 5.0934 5.0934 60.00 60.00 60.00
Last column: nearest neighbours and their distance in Å.
Sites, in units of the cell vectors:
Lu (0.2500, 0.2500, 0.2500)  4 Zn 3.12, 4 Au 3.12
Pm (0.7500, 0.7500, 0.7500)  4 Zn 3.12, 4 Au 3.12
Zn (0.0000, 0.0000, 0.0000)  4 Pm 3.12, 4 Lu 3.12
Au (0.5000, 0.5000, 0.5000)  4 Lu 3.12, 4 Pm 3.12



[6]
VASP calculation (PBE-GGA) on a relaxed Pr2LuAu crystal.

Values from the calculation:
Offset from the most stable computed form in meV/atom: 0.0
Density in g cm⁻³: 9.136

Lattice parameters (Å, degrees): 3.7817 3.7817 8.3084 90.00 90.00 90.00
Last column: nearest neighbours and their distance in Å.
Sites, in units of the cell vectors:
Au (0.5000, 0.5000, 0.0000)  8 Pr 3.23
Lu (0.5000, 0.5000, 0.5000)  8 Pr 3.56, 4 Lu 3.78
Pr (0.0000, 0.0000, 0.2177)  4 Au 3.23, 4 Lu 3.56
Pr (0.0000, 0.0000, 0.7823)  4 Au 3.23, 4 Lu 3.56